Ba3GaN PBE relaxed; total magnetization = 0.000 μB/f.u.; energy above the most stable polymorph in this dataset = 0.052 eV per atom
1.0
2.917 -5.538 0.000
2.917 5.538 0.000
0.000 0.000 11.271
Ba Ga N
6 2 2
Cartesian
2.917 5.461 8.453 Ba
2.917 1.684 6.530 Ba
2.917 1.684 10.376 Ba
2.917 -1.684 0.895 Ba
2.917 -1.684 4.741 Ba
2.917 -5.461 2.818 Ba
2.917 2.011 2.818 Ga
2.917 -2.011 8.453 Ga
2.917 0.057 2.818 N
2.917 -0.057 8.453 N



Ba12Ga7N PBE relaxed; E = -57.7 eV/f.u.; total magnetization = 2.644 μB/f.u.
1.0
8.330 4.809 3.332
-8.330 4.809 3.332
0.000 -9.619 3.332
Ba Ga N
12 7 1
Cartesian
-1.480 -1.693 1.623 Ba
-0.726 2.128 1.623 Ba
-4.017 0.524 4.386 Ba
2.206 -0.436 1.623 Ba
-2.462 -3.217 5.610 Ba
1.555 -3.741 4.386 Ba
-1.555 3.741 5.610 Ba
2.462 3.217 4.386 Ba
-2.206 0.436 8.373 Ba
4.017 -0.524 5.610 Ba
0.726 -2.128 8.373 Ba
1.480 1.693 8.373 Ba
-7.375 0.595 4.450 Ga
-4.203 -6.090 5.546 Ga
3.173 -6.684 4.450 Ga
0.000 0.000 4.998 Ga
-3.173 6.684 5.546 Ga
4.203 6.090 4.450 Ga
7.375 -0.595 5.546 Ga
0.000 0.000 0.000 N



Ba4Ga2N PBE relaxed; total magnetization = 0.000 μB/f.u.; energy above the most stable polymorph in this dataset = 0.068 eV per atom
1.0
-2.844 2.844 8.046
2.844 -2.844 8.046
2.844 2.844 -8.046
Ba Ga N
4 2 1
Cartesian
2.844 0.000 0.000 Ba
0.000 0.000 2.661 Ba
0.000 2.844 0.000 Ba
0.000 0.000 13.430 Ba
0.000 0.000 6.095 Ga
0.000 0.000 9.996 Ga
0.000 0.000 0.000 N